# 1
Below is a relaxed structure of Ba2NaCuRh, with properties calculated at the GGA-PBE level.

abc: 5.975 5.975 4.979
angles: 90.00 90.00 90.00
Sites, in units of the cell vectors:
Na (0.500, 0.500, 0.500)
Rh (0.000, 0.000, 0.000)
Ba (0.000, 0.500, 0.000)
Ba (0.500, 0.000, 0.000)
Cu (0.000, 0.000, 0.500)

Values from the calculation:
energy of formation from the pure elements = 55 meV/atom
theoretical density = 4.3 g cm⁻³
energy = -3.268 eV/atom
DOS at the Fermi energy = 2.762 states/eV/cell
spin magnetization = 0.00 μB/cell
SG = P4/mmm, No. 123
crystal system = tetragonal

=====

# 2
Below is a relaxed structure of BaNaCuS2, with properties calculated at the GGA-PBE level.

abc: 5.511 6.249 7.633
angles: 114.16 90.00 90.00
Sites, in units of the cell vectors:
Ba (0.246, 0.750, 0.500)
Ba (0.754, 0.250, 0.500)
Na (0.500, 0.750, 0.000)
Na (0.500, 0.250, 0.000)
Cu (0.000, 0.000, 0.000)
Cu (0.000, 0.500, 0.000)
S (0.763, 0.875, 0.749)
S (0.763, 0.625, 0.251)
S (0.237, 0.375, 0.749)
S (0.237, 0.125, 0.251)

Values from the calculation:
formation energy (no corrections) = -5.74 eV/f.u.
theoretical density = 4.0 g cm⁻³
energy = -4.267 eV/atom
DOS at the Fermi energy = 0.000 states/eV/cell
spin magnetization = 0.00 μB/cell
SG = Cmme, No. 67
crystal system = orthorhombic

=====

# 3
Below is a relaxed structure of BaNa2ScCu, with properties calculated at the GGA-PBE level.

abc: 5.512 6.005 5.512
angles: 90.00 90.00 90.00
Last column: magnetic moment on the atom in μB.
Sites, in units of the cell vectors:
Sc (0.500, 0.500, 0.500)  0.55
Na (0.000, 0.000, 0.500)  0.00
Na (0.500, 0.000, 0.000)  0.00
Ba (0.000, 0.500, 0.000)  0.04
Cu (0.000, 0.000, 0.000)  0.00

Values from the calculation:
energy of formation from the pure elements = 534 meV/atom
theoretical density = 2.7 g cm⁻³
energy = -2.464 eV/atom
DOS at the Fermi energy = 6.386 states/eV/cell
spin magnetization = 0.99 μB/cell
SG = P4/mmm, No. 123
crystal system = tetragonal

=====

# 4
Below is a relaxed structure of BaNaCuSe2, with properties calculated at the GGA-PBE level.

abc: 5.766 6.383 7.949
angles: 113.67 90.00 90.00
Sites, in units of the cell vectors:
Ba (0.245, 0.750, 0.500)
Ba (0.755, 0.250, 0.500)
Na (0.500, 0.750, 0.000)
Na (0.500, 0.250, 0.000)
Cu (0.000, 0.000, 0.000)
Cu (0.000, 0.500, 0.000)
Se (0.762, 0.872, 0.744)
Se (0.762, 0.628, 0.256)
Se (0.238, 0.372, 0.744)
Se (0.238, 0.128, 0.256)

Values from the calculation:
formation energy (no corrections) = -5.48 eV/f.u.
theoretical density = 4.7 g cm⁻³
energy = -3.957 eV/atom
DOS at the Fermi energy = 0.000 states/eV/cell
spin magnetization = 0.00 μB/cell
SG = Cmme, No. 67
crystal system = orthorhombic